ThH8Ru2Pt | Alexandria via LeMat-Bulk | GGA-PBE | optimized geometry; calculated density = 10.09 Mg/m³; space group = C2/m (12); DOS at the Fermi energy = 4.21 states/eV per cell; final energy = -0.185 Ha/atom; magnetization = 0.000 μB/cell
1.0
4.0547 0.0000 0.0000
2.0274 4.5562 0.2506
2.0274 2.0250 5.7896
H Ru Pt Th
8 2 1 1
Direct
0.2853 0.5708 0.8585 H
0.8432 0.7706 0.5431 H
0.3716 0.9946 0.7591 H
0.7147 0.4292 0.1415 H
0.1252 0.0054 0.2409 H
0.1568 0.2294 0.4569 H
0.8748 0.9946 0.7591 H
0.6284 0.0054 0.2409 H
0.2529 0.3281 0.1662 Ru
0.7471 0.6719 0.8338 Ru
0.0000 0.0000 0.0000 Pt
0.5000 0.5000 0.5000 Th

SrAl5 | Alexandria via LeMat-Bulk | GGA-PBE | optimized geometry; calculated density = 2.83 Mg/m³; E_form = 0.01 eV per atom; space group = Amm2 (38); DOS at the Fermi energy = 2.40 states/eV per cell; magnetization = 0.000 μB/cell
1.0
1.6859 -8.6185 0.0000
1.6859 8.6185 0.0000
0.0000 0.0000 4.4990
Al Sr
5 1
Direct
0.4292 0.5708 0.5000 Al
0.7086 0.2914 0.0000 Al
0.7946 0.2054 0.5000 Al
0.3325 0.6675 0.0000 Al
0.9621 0.0379 0.0000 Al
0.1063 0.8937 0.5000 Sr